A plane-wave DFT calculation with GGA-PBE was carried out for a relaxed TcB2 crystal.

Properties
Formation enthalpy at 0 K = -437.9 meV/atom
Space group = P6_3/mmc, No. 194
Distance to the lowest polymorph of the same formula = 0.000 eV per atom

Geometry as extended XYZ:
```
6
Lattice="-1.5878 -2.0850 -1.2459 2.8941 -0.0641 -0.2018 0.3496 -4.0262 6.2923" Properties=species:S:1:pos:R:3 pbc="T T T"
Tc 1.4875 -1.7443 1.0233
Tc 0.1684 -4.4310 3.8214
B 1.7331 -4.5721 5.4426
B 1.5916 -2.9427 2.8962
B 0.0643 -3.2326 1.9484
B -0.0772 -1.6032 -0.5980
```